[1]
## Nd5Y2In (PBE)

Data for a relaxed Nd5Y2In crystal.

abc: 7.6106 7.6106 8.8781
angles: 90.00 90.00 90.00
Fractional positions:
1 Nd 0.0000 0.0000 0.0000
2 Nd 0.2255 0.2255 0.3061
3 Nd 0.2255 0.7745 0.3061
4 Nd 0.2745 0.2745 0.8061
5 Nd 0.2745 0.7255 0.8061
6 Nd 0.5000 0.5000 0.5000
7 Nd 0.7255 0.2745 0.8061
8 Nd 0.7255 0.7255 0.8061
9 Nd 0.7745 0.2255 0.3061
10 Nd 0.7745 0.7745 0.3061
11 Y 0.0000 0.5000 0.0558
12 Y 0.0000 0.5000 0.5558
13 Y 0.5000 0.0000 0.0558
14 Y 0.5000 0.0000 0.5558
15 In 0.0000 0.0000 0.5829
16 In 0.5000 0.5000 0.0829

ΔH_f (0 K) ... -67 meV per atom
Magnetic moment ... 0.000 μB per atom
Uncorrected energy ... -80.09 eV/cell


[2]
## Pm2Se2O6F (PBE)

Data for a relaxed Pm2Se2O6F crystal.

abc: 5.6708 5.8766 6.0420
angles: 67.47 84.92 75.04
Fractional positions:
1 Pm 0.2208 0.0105 0.2206
2 Pm 0.7792 0.9895 0.7794
3 Se 0.2159 0.4236 0.6467
4 Se 0.7841 0.5764 0.3533
5 O 0.0066 0.2411 0.8437
6 O 0.1077 0.7316 0.6450
7 O 0.4314 0.2702 0.8882
8 O 0.5686 0.7298 0.1118
9 O 0.8923 0.2684 0.3550
10 O 0.9934 0.7589 0.1563
11 F 0.5000 0.0000 0.5000

Energy relative to the elements, uncorrected ... -2192 kJ/mol of formula units
Magnetic moment ... 0.000 μB per atom
Uncorrected energy ... -70.80 eV/cell


[3]
## MgGePd3 (PBE)

Data for a relaxed MgGePd3 crystal.

abc: 6.2851 6.2851 9.0165
angles: 90.00 90.00 103.37
Fractional positions:
1 Mg 0.1014 0.8986 0.7500
2 Mg 0.3941 0.6059 0.2500
3 Mg 0.6059 0.3941 0.7500
4 Mg 0.8986 0.1014 0.2500
5 Ge 0.0000 0.5000 0.0000
6 Ge 0.0000 0.5000 0.5000
7 Ge 0.5000 0.0000 0.0000
8 Ge 0.5000 0.0000 0.5000
9 Pd 0.1251 0.8749 0.0876
10 Pd 0.1251 0.8749 0.4124
11 Pd 0.1555 0.4817 0.7500
12 Pd 0.3216 0.3216 0.0000
13 Pd 0.3216 0.3216 0.5000
14 Pd 0.4817 0.1555 0.2500
15 Pd 0.5183 0.8445 0.7500
16 Pd 0.6784 0.6784 0.0000
17 Pd 0.6784 0.6784 0.5000
18 Pd 0.8445 0.5183 0.2500
19 Pd 0.8749 0.1251 0.5876
20 Pd 0.8749 0.1251 0.9124

ΔH_f (0 K) ... -444 meV per atom
Magnetic moment ... 0.000 μB per atom
Energy above the most stable polymorph in this dataset ... 0.0235 eV/atom
Uncorrected energy ... -96.04 eV/cell


[4]
## Sm2Dy6Y3Tl (PBE)

Data for a relaxed Sm2Dy6Y3Tl crystal.

abc: 6.1148 6.1148 11.7266
angles: 94.99 94.99 120.03
Fractional positions:
1 Sm 0.1664 0.8336 0.0000
2 Sm 0.8336 0.1664 0.0000
3 Dy 0.0885 0.4171 0.7514
4 Dy 0.2548 0.2548 0.2495
5 Dy 0.4171 0.0885 0.7514
6 Dy 0.5829 0.9115 0.2486
7 Dy 0.7452 0.7452 0.7505
8 Dy 0.9115 0.5829 0.2486
9 Y 0.0000 0.0000 0.5000
10 Y 0.3334 0.6666 0.5000
11 Y 0.6666 0.3334 0.5000
12 Tl 0.5000 0.5000 0.0000

ΔH_f (0 K) ... -21 meV per atom
Magnetic moment ... 0.000 μB per atom
Uncorrected energy ... -59.06 eV/cell


[5]
## CaB2Rh (PBE)

Data for a relaxed CaB2Rh crystal.

abc: 4.4520 4.4520 13.1901
angles: 90.00 90.00 90.00
Fractional positions:
1 Ca 0.0000 0.2500 0.3750
2 Ca 0.0000 0.7500 0.6250
3 Ca 0.5000 0.2500 0.1250
4 Ca 0.5000 0.7500 0.8750
5 B 0.0000 0.0000 0.0000
6 B 0.0000 0.5000 0.0000
7 B 0.2500 0.2500 0.7500
8 B 0.2500 0.7500 0.2500
9 B 0.5000 0.0000 0.5000
10 B 0.5000 0.5000 0.5000
11 B 0.7500 0.2500 0.7500
12 B 0.7500 0.7500 0.2500
13 Rh 0.0000 0.2500 0.8750
14 Rh 0.0000 0.7500 0.1250
15 Rh 0.5000 0.2500 0.6250
16 Rh 0.5000 0.7500 0.3750

ΔH_f (0 K) ... -117 meV per atom
Magnetic moment ... 0.000 μB per atom
Energy above the most stable polymorph in this dataset ... 0.0000 eV/atom
Uncorrected energy ... -92.70 eV/cell


[6]
## NiPbBr2 (PBE)

Data for a relaxed NiPbBr2 crystal.

abc: 3.5745 5.2806 12.2602
angles: 90.00 90.00 90.00
Fractional positions:
1 Ni 0.0000 0.0000 0.0000
2 Ni 0.5000 0.5000 0.5000
3 Pb 0.0000 0.0000 0.5000
4 Pb 0.5000 0.5000 0.0000
5 Br 0.0000 0.5000 0.3569
6 Br 0.0000 0.5000 0.6431
7 Br 0.5000 0.0000 0.1431
8 Br 0.5000 0.0000 0.8569

Energy relative to the elements, uncorrected ... -85 kJ/mol of formula units
Magnetic moment ... 0.236 μB per atom
Energy above the most stable polymorph in this dataset ... 0.1118 eV/atom
Uncorrected energy ... -27.42 eV/cell


[7]
## CdGeSb2O8 (PBE)

Data for a relaxed CdGeSb2O8 crystal.

abc: 4.7874 4.7874 6.3524
angles: 90.00 90.00 93.96
Fractional positions:
1 Cd 0.0000 0.0000 0.0000
2 Ge 0.0000 0.0000 0.5000
3 Sb 0.5000 0.5000 0.2554
4 Sb 0.5000 0.5000 0.7446
5 O 0.1959 0.1959 0.2830
6 O 0.1959 0.1959 0.7170
7 O 0.3032 0.6968 0.5000
8 O 0.3238 0.6762 0.0000
9 O 0.6762 0.3238 0.0000
10 O 0.6968 0.3032 0.5000
11 O 0.8041 0.8041 0.2830
12 O 0.8041 0.8041 0.7170

Energy relative to the elements, uncorrected ... -1545 kJ/mol of formula units
Magnetic moment ... 0.000 μB per atom
Uncorrected energy ... -69.46 eV/cell


[8]
## Nd2PdI (PBE)

Data for a relaxed Nd2PdI crystal.

abc: 3.6341 3.6341 31.8156
angles: 90.00 90.00 120.00
Fractional positions:
1 Nd 0.0000 0.0000 0.0846
2 Nd 0.0000 0.0000 0.9154
3 Nd 0.3333 0.6667 0.5821
4 Nd 0.3333 0.6667 0.7512
5 Nd 0.6667 0.3333 0.2488
6 Nd 0.6667 0.3333 0.4179
7 Pd 0.0000 0.0000 0.0000
8 Pd 0.3333 0.6667 0.6667
9 Pd 0.6667 0.3333 0.3333
10 I 0.0000 0.0000 0.5000
11 I 0.3333 0.6667 0.1667
12 I 0.6667 0.3333 0.8333

Energy relative to the elements, uncorrected ... -82 kJ/mol of formula units
Magnetic moment ... 0.000 μB per atom
Energy above the most stable polymorph in this dataset ... 0.6470 eV/atom
Uncorrected energy ... -51.40 eV/cell


[9]
## TaNi2Te (PBE)

Data for a relaxed TaNi2Te crystal.

abc: 3.6034 3.6934 5.0760
angles: 90.00 110.62 90.00
Fractional positions:
1 Ta 0.0000 0.0000 0.0000
2 Ni 0.2794 0.0000 0.5596
3 Ni 0.4554 0.5000 0.9090
4 Te 0.7191 0.5000 0.4374

Energy relative to the elements, uncorrected ... 35 kJ/mol of formula units
Magnetic moment ... 0.000 μB per atom
Uncorrected energy ... -26.20 eV/cell


- What is the formula in the third record?
  MgGePd3